(1)
LaMn3Cr4O12 | GGA+U | relaxed

Results
Final energy (eV/atom): -7.8913
Crystal system: cubic
Mass density (g cm⁻³): 5.5

a = 6.522 Å, b = 6.522 Å, c = 6.522 Å
α = 109.47°, β = 109.47°, γ = 109.47°
Positions (direct):
O (0.133, 0.824, 0.308)
Mn (0.500, 0.000, 0.500)
O (0.824, 0.308, 0.133)
O (0.692, 0.516, 0.824)
La (0.000, 0.000, 0.000)
Cr (0.000, 0.000, 0.500)
O (0.176, 0.308, 0.484)
O (0.484, 0.176, 0.308)
O (0.516, 0.824, 0.692)
O (0.824, 0.692, 0.516)
Cr (0.000, 0.500, 0.000)
Cr (0.500, 0.000, 0.000)
O (0.867, 0.176, 0.692)
O (0.692, 0.867, 0.176)
Mn (0.000, 0.500, 0.500)
Mn (0.500, 0.500, 0.000)
O (0.308, 0.484, 0.176)
O (0.176, 0.692, 0.867)
O (0.308, 0.133, 0.824)
Cr (0.500, 0.500, 0.500)

---

(2)
LaMnCrO6 | GGA+U | relaxed

Results
Final energy (eV/atom): -7.2899
Crystal system: triclinic
Energy relative to the lowest polymorph listed for this composition (meV per atom): 48.5
Mass density (g cm⁻³): 4.5

a = 4.767 Å, b = 6.050 Å, c = 5.630 Å
α = 117.80°, β = 104.99°, γ = 104.28°
Positions (direct):
O (0.531, 0.559, 0.327)
La (0.748, 0.453, 0.690)
O (0.158, 0.734, 0.658)
Mn (0.040, 0.961, 0.548)
O (0.914, 0.166, 0.850)
Cr (0.067, 0.426, 0.256)
O (0.067, 0.717, 0.198)
O (0.593, 0.317, 0.164)
O (0.121, 0.250, 0.468)

---

(3)
LaMnCrO6 | GGA+U | relaxed

Results
Final energy (eV/atom): -7.3384
Crystal system: triclinic
Energy relative to the lowest polymorph listed for this composition (meV per atom): 0.0
Mass density (g cm⁻³): 4.6

a = 5.696 Å, b = 6.551 Å, c = 5.641 Å
α = 116.62°, β = 80.50°, γ = 137.56°
Positions (direct):
O (0.159, 0.012, 0.232)
O (0.014, 0.329, 0.317)
Cr (0.249, 0.360, 0.573)
Mn (0.749, 0.860, 0.073)
O (0.484, 0.391, 0.830)
O (0.768, 0.985, 0.584)
La (0.749, 0.360, 0.073)
O (0.730, 0.735, 0.562)
O (0.339, 0.708, 0.914)

---

(4)
Sr3LaMnCrO8 | GGA+U | relaxed

Results
Final energy (eV/atom): -7.1595
Crystal system: orthorhombic
Mass density (g cm⁻³): 5.6

a = 5.495 Å, b = 5.510 Å, c = 6.850 Å
α = 113.72°, β = 90.00°, γ = 90.00°
Positions (direct):
O (0.500, 0.160, 0.320)
La (0.000, 0.141, 0.281)
Sr (0.500, 0.358, 0.716)
O (0.000, 0.660, 0.321)
Sr (0.500, 0.644, 0.288)
O (0.500, 0.844, 0.687)
O (0.749, 0.244, 0.007)
O (0.251, 0.762, 0.007)
O (0.749, 0.762, 0.007)
Mn (0.500, 0.998, 0.996)
O (0.251, 0.244, 0.007)
Cr (0.000, 0.497, 0.994)
Sr (0.000, 0.855, 0.710)
O (0.000, 0.330, 0.661)

---

(5)
LaMnZnCrO6 | GGA+U | relaxed

Results
Final energy (eV/atom): -7.0886
Crystal system: monoclinic
Mass density (g cm⁻³): 6.1

a = 5.494 Å, b = 5.317 Å, c = 9.272 Å
α = 55.27°, β = 90.00°, γ = 90.00°
Positions (direct):
O (0.510, 0.305, 0.941)
Mn (0.253, 0.499, 0.500)
O (0.962, 0.360, 0.442)
O (0.497, 0.675, 0.062)
O (0.235, 0.119, 0.744)
O (0.503, 0.675, 0.562)
O (0.954, 0.735, 0.057)
La (0.778, 0.260, 0.750)
O (0.716, 0.828, 0.755)
O (0.038, 0.360, 0.942)
Zn (0.713, 0.722, 0.249)
O (0.284, 0.828, 0.255)
O (0.490, 0.305, 0.441)
Cr (0.749, 0.998, 0.498)
O (0.046, 0.735, 0.557)
La (0.222, 0.260, 0.250)
O (0.765, 0.119, 0.244)
Zn (0.287, 0.722, 0.749)
Cr (0.251, 0.998, 0.998)
Mn (0.747, 0.499, 0.000)

---

no.,total magnetization (μB per atom)
1,1.200
2,0.667
3,0.667
4,0.428
5,0.600